# SbOs2Pb GGA-PBE relaxed
# Symmetry: P4mm (99)
# Fermi-level density of states in states/eV/f.u.: 3.118
# Formation energy without anion corrections in eV/atom: 0.47
data_SbOs2Pb
_chemical_formula_sum 'Sb1 Os2 Pb1'
_cell_length_a 3.0095
_cell_length_b 3.0095
_cell_length_c 9.4929
_cell_angle_alpha 90.00
_cell_angle_beta 90.00
_cell_angle_gamma 90.00
_symmetry_space_group_name_H-M 'P 1'
_symmetry_Int_Tables_number 1
_symmetry_space_group_name_Hall 'P 1'
loop_
_atom_site_label
_atom_site_type_symbol
_atom_site_fract_x
_atom_site_fract_y
_atom_site_fract_z
_atom_site_occupancy
Os1 Os 0.0000 0.0000 0.0354 1
Os2 Os 0.5000 0.5000 0.2011 1
Pb1 Pb 0.0000 0.0000 0.4376 1
Sb1 Sb 0.5000 0.5000 0.8258 1

---

# SbOs2Pb GGA-PBE relaxed
# Symmetry: F-43m (216)
# Fermi-level density of states in states/eV/f.u.: 6.014
# Formation energy without anion corrections in eV/atom: 1.20
data_SbOs2Pb
_chemical_formula_sum 'Sb1 Os2 Pb1'
_cell_length_a 4.7702
_cell_length_b 4.7702
_cell_length_c 4.7702
_cell_angle_alpha 60.00
_cell_angle_beta 60.00
_cell_angle_gamma 60.00
_symmetry_space_group_name_H-M 'P 1'
_symmetry_Int_Tables_number 1
_symmetry_space_group_name_Hall 'P 1'
loop_
_atom_site_label
_atom_site_type_symbol
_atom_site_fract_x
_atom_site_fract_y
_atom_site_fract_z
_atom_site_occupancy
Pb1 Pb 0.5000 0.5000 0.5000 1
Os1 Os 0.0000 0.0000 0.0000 1
Os2 Os 0.7500 0.7500 0.7500 1
Sb1 Sb 0.2500 0.2500 0.2500 1

---

# Sb3OsPb GGA-PBE relaxed
# Symmetry: Pm-3m (221)
# Fermi-level density of states in states/eV/f.u.: 5.821
# Formation energy without anion corrections in eV/atom: 2.12
data_Sb3OsPb
_chemical_formula_sum 'Sb3 Os1 Pb1'
_cell_length_a 5.6470
_cell_length_b 5.6470
_cell_length_c 5.6470
_cell_angle_alpha 90.00
_cell_angle_beta 90.00
_cell_angle_gamma 90.00
_symmetry_space_group_name_H-M 'P 1'
_symmetry_Int_Tables_number 1
_symmetry_space_group_name_Hall 'P 1'
loop_
_atom_site_label
_atom_site_type_symbol
_atom_site_fract_x
_atom_site_fract_y
_atom_site_fract_z
_atom_site_occupancy
Sb1 Sb 0.0000 0.0000 0.5000 1
Sb2 Sb 0.0000 0.5000 0.0000 1
Sb3 Sb 0.5000 0.0000 0.0000 1
Os1 Os 0.5000 0.5000 0.5000 1
Pb1 Pb 0.0000 0.0000 0.0000 1

---

# SbOs2Pb GGA-PBE relaxed
# Symmetry: P4/mmm (123)
# Fermi-level density of states in states/eV/f.u.: 2.522
# Formation energy without anion corrections in eV/atom: 0.88
data_SbOs2Pb
_chemical_formula_sum 'Sb1 Os2 Pb1'
_cell_length_a 4.6901
_cell_length_b 4.6901
_cell_length_c 3.3237
_cell_angle_alpha 90.00
_cell_angle_beta 90.00
_cell_angle_gamma 90.00
_symmetry_space_group_name_H-M 'P 1'
_symmetry_Int_Tables_number 1
_symmetry_space_group_name_Hall 'P 1'
loop_
_atom_site_label
_atom_site_type_symbol
_atom_site_fract_x
_atom_site_fract_y
_atom_site_fract_z
_atom_site_occupancy
Os1 Os 0.0000 0.0000 0.0000 1
Os2 Os 0.5000 0.5000 0.0000 1
Sb1 Sb 0.0000 0.5000 0.5000 1
Pb1 Pb 0.5000 0.0000 0.5000 1

---

# SbOs2Pb GGA-PBE relaxed
# Symmetry: C2/m (12)
# Fermi-level density of states in states/eV/f.u.: 2.617
# Formation energy without anion corrections in eV/atom: 0.84
data_SbOs2Pb
_chemical_formula_sum 'Sb1 Os2 Pb1'
_cell_length_a 4.6504
_cell_length_b 4.6504
_cell_length_c 5.7484
_cell_angle_alpha 77.46
_cell_angle_beta 77.46
_cell_angle_gamma 39.37
_symmetry_space_group_name_H-M 'P 1'
_symmetry_Int_Tables_number 1
_symmetry_space_group_name_Hall 'P 1'
loop_
_atom_site_label
_atom_site_type_symbol
_atom_site_fract_x
_atom_site_fract_y
_atom_site_fract_z
_atom_site_occupancy
Pb1 Pb 0.7500 0.7500 0.7500 1
Os1 Os 0.0010 0.0010 0.0428 1
Os2 Os 0.4990 0.4990 0.4572 1
Sb1 Sb 0.2500 0.2500 0.2500 1

---

# SbOs2Pb GGA-PBE relaxed
# Symmetry: Imm2 (44)
# Fermi-level density of states in states/eV/f.u.: 3.521
# Formation energy without anion corrections in eV/atom: 0.87
data_SbOs2Pb
_chemical_formula_sum 'Sb1 Os2 Pb1'
_cell_length_a 6.2369
_cell_length_b 6.2369
_cell_length_c 6.2369
_cell_angle_alpha 152.09
_cell_angle_beta 135.16
_cell_angle_gamma 53.64
_symmetry_space_group_name_H-M 'P 1'
_symmetry_Int_Tables_number 1
_symmetry_space_group_name_Hall 'P 1'
loop_
_atom_site_label
_atom_site_type_symbol
_atom_site_fract_x
_atom_site_fract_y
_atom_site_fract_z
_atom_site_occupancy
Os1 Os 0.9735 0.9735 0.0000 1
Os2 Os 0.7835 0.2835 0.5000 1
Pb1 Pb 0.5252 0.5252 0.0000 1
Sb1 Sb 0.2179 0.7179 0.5000 1

---

# SbOs2Pb GGA-PBE relaxed
# Symmetry: Pmm2 (25)
# Fermi-level density of states in states/eV/f.u.: 4.072
# Formation energy without anion corrections in eV/atom: 0.53
data_SbOs2Pb
_chemical_formula_sum 'Sb1 Os2 Pb1'
_cell_length_a 2.9374
_cell_length_b 3.7520
_cell_length_c 7.9991
_cell_angle_alpha 90.00
_cell_angle_beta 90.00
_cell_angle_gamma 90.00
_symmetry_space_group_name_H-M 'P 1'
_symmetry_Int_Tables_number 1
_symmetry_space_group_name_Hall 'P 1'
loop_
_atom_site_label
_atom_site_type_symbol
_atom_site_fract_x
_atom_site_fract_y
_atom_site_fract_z
_atom_site_occupancy
Os1 Os 0.5000 0.5000 0.1869 1
Os2 Os 0.0000 0.0000 0.0442 1
Pb1 Pb 0.0000 0.0000 0.4357 1
Sb1 Sb 0.5000 0.5000 0.8331 1

---

# SbOs2Pb GGA-PBE relaxed
# Symmetry: Pmmm (47)
# Fermi-level density of states in states/eV/f.u.: 2.798
# Formation energy without anion corrections in eV/atom: 1.15
data_SbOs2Pb
_chemical_formula_sum 'Sb1 Os2 Pb1'
_cell_length_a 3.2730
_cell_length_b 5.4416
_cell_length_c 4.3515
_cell_angle_alpha 90.00
_cell_angle_beta 90.00
_cell_angle_gamma 90.00
_symmetry_space_group_name_H-M 'P 1'
_symmetry_Int_Tables_number 1
_symmetry_space_group_name_Hall 'P 1'
loop_
_atom_site_label
_atom_site_type_symbol
_atom_site_fract_x
_atom_site_fract_y
_atom_site_fract_z
_atom_site_occupancy
Sb1 Sb 0.0000 0.5000 0.5000 1
Pb1 Pb 0.5000 0.0000 0.5000 1
Os1 Os 0.0000 0.0000 0.0000 1
Os2 Os 0.5000 0.5000 0.0000 1

---

# SbOs2Pb GGA-PBE relaxed
# Symmetry: I-42d (122)
# Fermi-level density of states in states/eV/f.u.: 5.656
# Formation energy without anion corrections in eV/atom: 1.42
data_SbOs2Pb
_chemical_formula_sum 'Sb2 Os4 Pb2'
_cell_length_a 6.0757
_cell_length_b 6.0757
_cell_length_c 7.3450
_cell_angle_alpha 65.57
_cell_angle_beta 65.57
_cell_angle_gamma 90.00
_symmetry_space_group_name_H-M 'P 1'
_symmetry_Int_Tables_number 1
_symmetry_space_group_name_Hall 'P 1'
loop_
_atom_site_label
_atom_site_type_symbol
_atom_site_fract_x
_atom_site_fract_y
_atom_site_fract_z
_atom_site_occupancy
Os1 Os 0.8750 0.8580 0.7500 1
Os2 Os 0.1420 0.6250 0.2500 1
Os3 Os 0.6080 0.1250 0.2500 1
Os4 Os 0.3750 0.3920 0.7500 1
Pb1 Pb 0.0000 0.0000 0.0000 1
Pb2 Pb 0.7500 0.2500 0.5000 1
Sb1 Sb 0.2500 0.7500 0.5000 1
Sb2 Sb 0.5000 0.5000 0.0000 1

---

# SbOs2Pb GGA-PBE relaxed
# Symmetry: P4/mmm (123)
# Fermi-level density of states in states/eV/f.u.: 2.417
# Formation energy without anion corrections in eV/atom: 0.80
data_SbOs2Pb
_chemical_formula_sum 'Sb1 Os2 Pb1'
_cell_length_a 3.2500
_cell_length_b 3.2504
_cell_length_c 6.9797
_cell_angle_alpha 90.00
_cell_angle_beta 90.00
_cell_angle_gamma 90.00
_symmetry_space_group_name_H-M 'P 1'
_symmetry_Int_Tables_number 1
_symmetry_space_group_name_Hall 'P 1'
loop_
_atom_site_label
_atom_site_type_symbol
_atom_site_fract_x
_atom_site_fract_y
_atom_site_fract_z
_atom_site_occupancy
Sb1 Sb 0.5000 0.5000 0.7500 1
Os1 Os 0.0000 0.0000 0.9690 1
Os2 Os 0.0000 0.0000 0.5310 1
Pb1 Pb 0.5000 0.5000 0.2500 1

---

# TcSb2OsPb GGA-PBE relaxed
# Symmetry: P4/mmm (123)
# Fermi-level density of states in states/eV/f.u.: 5.623
# Formation energy without anion corrections in eV/atom: 1.00
data_TcSb2OsPb
_chemical_formula_sum 'Tc1 Sb2 Os1 Pb1'
_cell_length_a 5.1274
_cell_length_b 5.0079
_cell_length_c 5.1274
_cell_angle_alpha 90.00
_cell_angle_beta 90.00
_cell_angle_gamma 90.00
_symmetry_space_group_name_H-M 'P 1'
_symmetry_Int_Tables_number 1
_symmetry_space_group_name_Hall 'P 1'
loop_
_atom_site_label
_atom_site_type_symbol
_atom_site_fract_x
_atom_site_fract_y
_atom_site_fract_z
_atom_site_occupancy
Tc1 Tc 0.0000 0.5000 0.0000 1
Os1 Os 0.0000 0.0000 0.0000 1
Sb1 Sb 0.5000 0.0000 0.0000 1
Sb2 Sb 0.0000 0.0000 0.5000 1
Pb1 Pb 0.5000 0.5000 0.5000 1

---

# SbTe2OsPb GGA-PBE relaxed
# Symmetry: P4/mmm (123)
# Fermi-level density of states in states/eV/f.u.: 6.708
# Formation energy without anion corrections in eV/atom: 0.53
data_SbTe2OsPb
_chemical_formula_sum 'Sb1 Te2 Os1 Pb1'
_cell_length_a 5.4761
_cell_length_b 5.4761
_cell_length_c 4.9915
_cell_angle_alpha 90.00
_cell_angle_beta 90.00
_cell_angle_gamma 90.00
_symmetry_space_group_name_H-M 'P 1'
_symmetry_Int_Tables_number 1
_symmetry_space_group_name_Hall 'P 1'
loop_
_atom_site_label
_atom_site_type_symbol
_atom_site_fract_x
_atom_site_fract_y
_atom_site_fract_z
_atom_site_occupancy
Sb1 Sb 0.0000 0.0000 0.5000 1
Pb1 Pb 0.5000 0.5000 0.5000 1
Te1 Te 0.0000 0.5000 0.0000 1
Te2 Te 0.5000 0.0000 0.0000 1
Os1 Os 0.0000 0.0000 0.0000 1

---

# SbTeOs2Pb GGA-PBE relaxed
# Symmetry: P4/mmm (123)
# Fermi-level density of states in states/eV/f.u.: 4.174
# Formation energy without anion corrections in eV/atom: 1.73
data_SbTeOs2Pb
_chemical_formula_sum 'Sb1 Te1 Os2 Pb1'
_cell_length_a 4.9174
_cell_length_b 6.0536
_cell_length_c 4.9174
_cell_angle_alpha 90.00
_cell_angle_beta 90.00
_cell_angle_gamma 90.00
_symmetry_space_group_name_H-M 'P 1'
_symmetry_Int_Tables_number 1
_symmetry_space_group_name_Hall 'P 1'
loop_
_atom_site_label
_atom_site_type_symbol
_atom_site_fract_x
_atom_site_fract_y
_atom_site_fract_z
_atom_site_occupancy
Pb1 Pb 0.5000 0.5000 0.5000 1
Os1 Os 0.5000 0.0000 0.0000 1
Os2 Os 0.0000 0.0000 0.5000 1
Te1 Te 0.0000 0.5000 0.0000 1
Sb1 Sb 0.0000 0.0000 0.0000 1

---

# SbTe2OsPb GGA-PBE relaxed
# Symmetry: P4/mmm (123)
# Fermi-level density of states in states/eV/f.u.: 5.850
# Formation energy without anion corrections in eV/atom: 1.92
data_SbTe2OsPb
_chemical_formula_sum 'Sb1 Te2 Os1 Pb1'
_cell_length_a 5.7274
_cell_length_b 5.7274
_cell_length_c 5.8120
_cell_angle_alpha 90.00
_cell_angle_beta 90.00
_cell_angle_gamma 90.00
_symmetry_space_group_name_H-M 'P 1'
_symmetry_Int_Tables_number 1
_symmetry_space_group_name_Hall 'P 1'
loop_
_atom_site_label
_atom_site_type_symbol
_atom_site_fract_x
_atom_site_fract_y
_atom_site_fract_z
_atom_site_occupancy
Pb1 Pb 0.0000 0.0000 0.0000 1
Te1 Te 0.5000 0.0000 0.0000 1
Te2 Te 0.0000 0.5000 0.0000 1
Os1 Os 0.5000 0.5000 0.5000 1
Sb1 Sb 0.0000 0.0000 0.5000 1

---

# TiSbOs2Pb GGA-PBE relaxed
# Symmetry: P4/mmm (123)
# Fermi-level density of states in states/eV/f.u.: 6.062
# Formation energy without anion corrections in eV/atom: 1.28
data_TiSbOs2Pb
_chemical_formula_sum 'Ti1 Sb1 Os2 Pb1'
_cell_length_a 4.7221
_cell_length_b 5.1226
_cell_length_c 4.7221
_cell_angle_alpha 90.00
_cell_angle_beta 90.00
_cell_angle_gamma 90.00
_symmetry_space_group_name_H-M 'P 1'
_symmetry_Int_Tables_number 1
_symmetry_space_group_name_Hall 'P 1'
loop_
_atom_site_label
_atom_site_type_symbol
_atom_site_fract_x
_atom_site_fract_y
_atom_site_fract_z
_atom_site_occupancy
Os1 Os 0.0000 0.0000 0.5000 1
Os2 Os 0.5000 0.0000 0.0000 1
Sb1 Sb 0.0000 0.5000 0.0000 1
Ti1 Ti 0.0000 0.0000 0.0000 1
Pb1 Pb 0.5000 0.5000 0.5000 1

---

# V2SbOsPb GGA-PBE relaxed
# Symmetry: P4/mmm (123)
# Fermi-level density of states in states/eV/f.u.: 12.940
# Formation energy without anion corrections in eV/atom: 1.56
data_V2SbOsPb
_chemical_formula_sum 'V2 Sb1 Os1 Pb1'
_cell_length_a 4.8648
_cell_length_b 4.8704
_cell_length_c 4.8648
_cell_angle_alpha 90.00
_cell_angle_beta 90.00
_cell_angle_gamma 90.00
_symmetry_space_group_name_H-M 'P 1'
_symmetry_Int_Tables_number 1
_symmetry_space_group_name_Hall 'P 1'
loop_
_atom_site_label
_atom_site_type_symbol
_atom_site_fract_x
_atom_site_fract_y
_atom_site_fract_z
_atom_site_occupancy
Pb1 Pb 0.5000 0.5000 0.5000 1
Os1 Os 0.0000 0.5000 0.0000 1
V1 V 0.0000 0.0000 0.5000 1
V2 V 0.5000 0.0000 0.0000 1
Sb1 Sb 0.0000 0.0000 0.0000 1

---

# VSbOs2Pb GGA-PBE relaxed
# Symmetry: P4/mmm (123)
# Fermi-level density of states in states/eV/f.u.: 9.465
# Formation energy without anion corrections in eV/atom: 2.34
data_VSbOs2Pb
_chemical_formula_sum 'V1 Sb1 Os2 Pb1'
_cell_length_a 4.8341
_cell_length_b 5.5356
_cell_length_c 4.8341
_cell_angle_alpha 90.00
_cell_angle_beta 90.00
_cell_angle_gamma 90.00
_symmetry_space_group_name_H-M 'P 1'
_symmetry_Int_Tables_number 1
_symmetry_space_group_name_Hall 'P 1'
loop_
_atom_site_label
_atom_site_type_symbol
_atom_site_fract_x
_atom_site_fract_y
_atom_site_fract_z
_atom_site_occupancy
V1 V 0.5000 0.5000 0.5000 1
Sb1 Sb 0.0000 0.0000 0.0000 1
Os1 Os 0.0000 0.0000 0.5000 1
Os2 Os 0.5000 0.0000 0.0000 1
Pb1 Pb 0.0000 0.5000 0.0000 1

---

# ScOsPb2 GGA-PBE relaxed
# Symmetry: Fm-3m (225)
# Fermi-level density of states in states/eV/f.u.: 2.601
# Formation energy from the elements in eV per atom: 0.2895
data_ScOsPb2
_chemical_formula_sum 'Sc1 Os1 Pb2'
_cell_length_a 4.9002
_cell_length_b 4.9002
_cell_length_c 4.9002
_cell_angle_alpha 60.00
_cell_angle_beta 60.00
_cell_angle_gamma 60.00
_symmetry_space_group_name_H-M 'P 1'
_symmetry_Int_Tables_number 1
_symmetry_space_group_name_Hall 'P 1'
loop_
_atom_site_label
_atom_site_type_symbol
_atom_site_fract_x
_atom_site_fract_y
_atom_site_fract_z
_atom_site_occupancy
Sc1 Sc 0.0000 0.0000 0.0000 1
Pb1 Pb 0.2500 0.2500 0.2500 1
Pb2 Pb 0.7500 0.7500 0.7500 1
Os1 Os 0.5000 0.5000 0.5000 1

---

# ScOsPb4 GGA-PBE relaxed
# Symmetry: F-43m (216)
# Fermi-level density of states in states/eV/f.u.: 5.749
# Formation energy from the elements in eV per atom: 0.9828
data_ScOsPb4
_chemical_formula_sum 'Sc1 Os1 Pb4'
_cell_length_a 6.1613
_cell_length_b 6.1613
_cell_length_c 6.1613
_cell_angle_alpha 60.00
_cell_angle_beta 60.00
_cell_angle_gamma 60.00
_symmetry_space_group_name_H-M 'P 1'
_symmetry_Int_Tables_number 1
_symmetry_space_group_name_Hall 'P 1'
loop_
_atom_site_label
_atom_site_type_symbol
_atom_site_fract_x
_atom_site_fract_y
_atom_site_fract_z
_atom_site_occupancy
Pb1 Pb 0.3747 0.8760 0.3747 1
Pb2 Pb 0.3747 0.3747 0.8760 1
Pb3 Pb 0.8760 0.3747 0.3747 1
Pb4 Pb 0.3747 0.3747 0.3747 1
Sc1 Sc 0.7500 0.7500 0.7500 1
Os1 Os 0.0000 0.0000 0.0000 1

---

# ScOsPb2 GGA-PBE relaxed
# Symmetry: Pm (6)
# Fermi-level density of states in states/eV/f.u.: 2.212
# Formation energy from the elements in eV per atom: 0.0349
data_ScOsPb2
_chemical_formula_sum 'Sc1 Os1 Pb2'
_cell_length_a 3.3332
_cell_length_b 3.3133
_cell_length_c 8.9372
_cell_angle_alpha 80.23
_cell_angle_beta 90.00
_cell_angle_gamma 90.00
_symmetry_space_group_name_H-M 'P 1'
_symmetry_Int_Tables_number 1
_symmetry_space_group_name_Hall 'P 1'
loop_
_atom_site_label
_atom_site_type_symbol
_atom_site_fract_x
_atom_site_fract_y
_atom_site_fract_z
_atom_site_occupancy
Os1 Os 0.5000 0.8327 0.7161 1
Pb1 Pb 0.5000 0.0261 0.2968 1
Pb2 Pb 0.0000 0.2374 0.9263 1
Sc1 Sc 0.0000 0.4038 0.5608 1